FeCuCl2 | Alexandria via LeMat-Bulk | PBE | optimized geometry; DOS at the Fermi energy = 1.91 states/eV/cell; formation energy from raw total energies = 76 meV per atom; VASP energy = -3.9875 eV per atom; size of the total moment = 3.06 Bohr magnetons per cell
1.0
-2.4004 2.4946 -0.0340
-0.2982 -3.0702 1.5719
2.9166 2.8910 6.2002
Fe Cu Cl
1 1 2
direct
0.5000 0.5000 0.7500
0.5000 0.5000 0.2500
0.0000 0.0000 0.0016
0.0000 0.0000 0.4984